## w
Pr2HoTm4 | PBE | optimized geometry

Lattice parameters (Å, degrees): 9.8701 8.5140 8.5204 138.72 97.40 94.87
Closest atoms and distances in Å follow each position.
Sites, in units of the cell vectors:
Ho: 0.2620 0.8917 0.8336  8 Tm 3.35-3.72, 3 Pr 3.58-3.72
Ho: 0.9882 0.3195 0.1274  8 Tm 3.35-3.72, 3 Pr 3.59-3.72
Pr: 0.7640 0.5036 0.9479  7 Tm 3.34-3.71, 2 Pr 3.57-3.71, 1 Ho 3.61
Pr: 0.1247 0.5663 0.9411  8 Tm 3.49-3.66, 2 Pr 3.57, 2 Ho 3.72
Pr: 0.4855 0.9329 0.2399  7 Tm 3.35-3.69, 2 Pr 3.57-3.72, 1 Ho 3.61
Pr: 0.6248 0.2539 0.1288  8 Tm 3.49-3.66, 2 Ho 3.58-3.59, 2 Pr 3.71-3.72
Tm: 0.8518 0.1097 0.3377  4 Tm 3.32-3.65, 4 Pr 3.34-3.66, 1 Ho 3.64
Tm: 0.0459 0.9290 0.5222  3 Ho 3.37-3.64, 4 Tm 3.42-3.68, 3 Pr 3.50-3.62
Tm: 0.2044 0.2287 0.3849  3 Ho 3.37-3.64, 4 Tm 3.42-3.68, 3 Pr 3.49-3.63
Tm: 0.7038 0.8906 0.5541  5 Pr 3.39-3.67, 4 Tm 3.39-3.72, 1 Ho 3.60
Tm: 0.3479 0.5760 0.3095  5 Tm 3.32-3.68, 2 Ho 3.35-3.46, 3 Pr 3.54-3.69
Tm: 0.5469 0.6009 0.6880  5 Pr 3.39-3.67, 5 Tm 3.40-3.79, 1 Ho 3.61
Tm: 0.9022 0.7088 0.7249  5 Tm 3.32-3.68, 2 Ho 3.35-3.46, 3 Pr 3.53-3.71
Tm: 0.3978 0.2383 0.7600  4 Tm 3.32-3.64, 4 Pr 3.35-3.65, 1 Ho 3.64

Symmetry: P1 (1)
Calculated volume (A^3/atom): 32.14

=====

## x
Pr2HoTm4 | PBE | optimized geometry

Lattice parameters (Å, degrees): 8.4294 8.4294 8.4294 109.54 109.33 109.54
Closest atoms and distances in Å follow each position.
Sites, in units of the cell vectors:
Ho: 0.0000 0.0000 0.0000  8 Tm 3.35-3.38
Ho: 0.7500 0.5000 0.2500  8 Tm 3.35-3.38
Tm: 0.9606 0.5867 0.7102  4 Pr 3.35-3.40, 2 Ho 3.35-3.38, 3 Tm 3.63-3.66
Tm: 0.1235 0.4133 0.3739  4 Pr 3.35-3.40, 2 Ho 3.35-3.38, 3 Tm 3.63-3.66
Tm: 0.6261 0.7496 0.0394  4 Pr 3.35-3.40, 2 Ho 3.35-3.38, 3 Tm 3.63-3.66
Tm: 0.2898 0.2504 0.8765  4 Pr 3.35-3.40, 2 Ho 3.35-3.38, 3 Tm 3.63-3.66
Tm: 0.7894 0.2496 0.8761  4 Pr 3.35-3.40, 2 Ho 3.35-3.38, 3 Tm 3.63-3.66
Tm: 0.6265 0.7504 0.5398  4 Pr 3.35-3.40, 2 Ho 3.35-3.38, 3 Tm 3.63-3.66
Tm: 0.1239 0.9133 0.3735  4 Pr 3.35-3.40, 2 Ho 3.35-3.38, 3 Tm 3.63-3.66
Tm: 0.4602 0.0867 0.2106  4 Pr 3.35-3.40, 2 Ho 3.35-3.38, 3 Tm 3.63-3.66
Pr: 0.8750 0.1231 0.4981  8 Tm 3.35-3.40
Pr: 0.3750 0.8769 0.7519  8 Tm 3.35-3.40
Pr: 0.2481 0.6231 0.1250  8 Tm 3.35-3.40
Pr: 0.5019 0.3769 0.6250  8 Tm 3.35-3.40

Symmetry: I-42d (122)
Calculated volume (A^3/atom): 32.93

=====

How do the structures above rank in stability at the extremes? w comes first and x comes last.